Entry from Alexandria: LiCrO2 after structural relaxation (PBE+U).

The calculation puts the energy relative to the lowest polymorph listed for this composition at 70.3 kJ/mol of atoms. For the mass density, the calculation gives 4.5 Mg/m³.

```
LiCrO2
1.0
0.000 2.568 2.568
2.568 0.000 2.568
2.568 2.568 0.000
Cr O Li
1 2 1
direct
0.500 0.500 0.500 Cr
0.750 0.750 0.750 O
0.250 0.250 0.250 O
0.000 0.000 0.000 Li
```